The following is a DFT calculation (PBE) of an optimized crystal structure of Sr2LaAsBr.

Summary:
E: -15.19 eV/cell
Calculated density: 3.67 Mg/m³
Symmetry: P4/mmm, No. 123
M_tot: 2.44 μB per cell

abc: 5.9688 5.9688 5.9563
angles: 90.00 90.00 90.00
Atoms (fractional coordinates):
1 Sr 0.0000 0.5000 0.0000
2 Sr 0.5000 0.0000 0.0000
3 La 0.0000 0.0000 0.5000
4 As 0.5000 0.5000 0.0000
5 Br 0.5000 0.5000 0.5000


The following is a DFT calculation (PBE) of an optimized crystal structure of ThSbPdSe.

Summary:
E: -49.09 eV/cell
Calculated density: 9.38 Mg/m³
Symmetry: P4/nmm, No. 129
M_tot: 0.00 μB per cell

abc: 4.7197 4.7197 8.5720
angles: 90.00 90.00 90.00
Atoms (fractional coordinates):
1 Th 0.2500 0.2500 0.2122
2 Th 0.7500 0.7500 0.7878
3 Sb 0.2500 0.2500 0.6573
4 Sb 0.7500 0.7500 0.3427
5 Pd 0.2500 0.7500 0.5000
6 Pd 0.7500 0.2500 0.5000
7 Se 0.2500 0.7500 0.0000
8 Se 0.7500 0.2500 0.0000


The following is a DFT calculation (PBE) of an optimized crystal structure of Tm5HPb4.

Summary:
E: -42.60 eV/cell
Calculated density: 10.02 Mg/m³
Symmetry: I4, No. 79
M_tot: 0.00 μB per cell

abc: 7.3790 7.3790 7.3790
angles: 100.10 100.10 130.49
Atoms (fractional coordinates):
1 Tm 0.0000 0.0000 0.0000
2 Tm 0.2881 0.6596 0.8302
3 Tm 0.4580 0.2881 0.6285
4 Tm 0.6596 0.8294 0.3715
5 Tm 0.8294 0.4580 0.1698
6 H 0.6283 0.6283 0.0000
7 Pb 0.1456 0.3693 0.3932
8 Pb 0.3693 0.9761 0.2237
9 Pb 0.7523 0.1456 0.7763
10 Pb 0.9761 0.7523 0.6068


The following is a DFT calculation (PBE) of an optimized crystal structure of Cs2BaHgAu.

Summary:
Energy of formation from the pure elements: -0.142 eV per atom
Calculated density: 4.34 Mg/m³
Symmetry: P4/mmm, No. 123
M_tot: 0.00 μB per cell

abc: 6.8971 6.8971 6.4470
angles: 90.00 90.00 90.00
Atoms (fractional coordinates):
1 Cs 0.0000 0.5000 0.0000
2 Cs 0.5000 0.0000 0.0000
3 Ba 0.0000 0.0000 0.5000
4 Hg 0.5000 0.5000 0.5000
5 Au 0.0000 0.0000 0.0000


The following is a DFT calculation (PBE) of an optimized crystal structure of CeZr2CrN4.

Summary:
E: -153.42 eV/cell
Calculated density: 7.04 Mg/m³
Symmetry: Cmcm, No. 63
M_tot: 2.37 μB per cell

abc: 5.8392 5.8392 11.0796
angles: 90.00 90.00 147.45
Atoms (fractional coordinates):
1 Ce 0.0989 0.9011 0.7500
2 Ce 0.9011 0.0989 0.2500
3 Zr 0.3689 0.6311 0.5463
4 Zr 0.3689 0.6311 0.9537
5 Zr 0.6311 0.3689 0.0463
6 Zr 0.6311 0.3689 0.4537
7 Cr 0.1609 0.8391 0.2500
8 Cr 0.8391 0.1609 0.7500
9 N 0.0000 0.0000 0.0000
10 N 0.0000 0.0000 0.5000
11 N 0.2673 0.7327 0.1200
12 N 0.2673 0.7327 0.3800
13 N 0.4343 0.5657 0.7500
14 N 0.5657 0.4343 0.2500
15 N 0.7327 0.2673 0.6200
16 N 0.7327 0.2673 0.8800


The following is a DFT calculation (PBE) of an optimized crystal structure of Ac3CoI3.

Summary:
E: -61.59 eV/cell
Calculated density: 6.62 Mg/m³
Symmetry: P2_1/m, No. 11
M_tot: 0.00 μB per cell

abc: 9.9379 4.3462 13.0448
angles: 90.00 93.57 90.00
Atoms (fractional coordinates):
1 Ac 0.0852 0.2500 0.3957
2 Ac 0.1191 0.2500 0.8376
3 Ac 0.3132 0.7500 0.6224
4 Ac 0.6868 0.2500 0.3776
5 Ac 0.8809 0.7500 0.1624
6 Ac 0.9148 0.7500 0.6043
7 Co 0.1170 0.2500 0.6220
8 Co 0.8830 0.7500 0.3780
9 I 0.1393 0.2500 0.1155
10 I 0.3802 0.7500 0.8810
11 I 0.3898 0.7500 0.3667
12 I 0.6102 0.2500 0.6333
13 I 0.6198 0.2500 0.1190
14 I 0.8607 0.7500 0.8845


The following is a DFT calculation (PBE) of an optimized crystal structure of CoAsBr2.

Summary:
Energy relative to the lowest polymorph listed for this composition: 606 meV per atom
Calculated density: 5.25 Mg/m³
Symmetry: Fmmm, No. 69
M_tot: 2.38 μB per cell

abc: 5.3740 4.9837 4.9712
angles: 65.34 57.44 57.22
Atoms (fractional coordinates):
1 Co 0.0000 0.0000 0.0000
2 As 0.5000 0.5000 0.5000
3 Br 0.0000 0.5000 0.5000
4 Br 0.5000 0.0000 0.0000


The following is a DFT calculation (PBE) of an optimized crystal structure of TmZrNi.

Summary:
Energy relative to the lowest polymorph listed for this composition: 75 meV per atom
Energy of formation from the pure elements: -0.197 eV per atom
Calculated density: 8.65 Mg/m³
Symmetry: I4mm, No. 107
M_tot: 0.15 μB per cell

abc: 6.0274 6.0274 6.0274
angles: 148.03 148.03 45.85
Atoms (fractional coordinates):
1 Tm 0.0000 0.0000 0.0000
2 Zr 0.2901 0.2901 0.0000
3 Ni 0.6614 0.6614 0.0000


The following is a DFT calculation (PBE) of an optimized crystal structure of Na2TlSiAu.

Summary:
E: -13.75 eV/cell
Calculated density: 5.47 Mg/m³
Symmetry: P4/mmm, No. 123
M_tot: 0.00 μB per cell

abc: 5.5873 5.5873 4.6202
angles: 90.00 90.00 90.00
Atoms (fractional coordinates):
1 Na 0.0000 0.5000 0.0000
2 Na 0.5000 0.0000 0.0000
3 Tl 0.0000 0.0000 0.5000
4 Si 0.5000 0.5000 0.5000
5 Au 0.5000 0.5000 0.0000


The following is a DFT calculation (PBE) of an optimized crystal structure of TlCuNi2Ge.

Summary:
Energy of formation from the pure elements: 0.656 eV per atom
Calculated density: 8.41 Mg/m³
Symmetry: P4/mmm, No. 123
M_tot: 0.00 μB per cell

abc: 4.5632 4.5632 4.3421
angles: 90.00 90.00 90.00
Atoms (fractional coordinates):
1 Tl 0.0000 0.0000 0.0000
2 Cu 0.5000 0.5000 0.5000
3 Ni 0.0000 0.5000 0.5000
4 Ni 0.5000 0.0000 0.5000
5 Ge 0.5000 0.5000 0.0000


The following is a DFT calculation (PBE) of an optimized crystal structure of ZnSiS2N.

Summary:
Energy relative to the lowest polymorph listed for this composition: 0 meV per atom
Calculated density: 3.75 Mg/m³
Symmetry: P4/mmm, No. 123
M_tot: 0.00 μB per cell

abc: 4.8019 4.8019 3.2998
angles: 90.00 90.00 90.00
Atoms (fractional coordinates):
1 Zn 0.0000 0.0000 0.0000
2 Si 0.5000 0.5000 0.5000
3 S 0.0000 0.5000 0.5000
4 S 0.5000 0.0000 0.5000
5 N 0.5000 0.5000 0.0000


The following is a DFT calculation (PBE) of an optimized crystal structure of LiHfZn11.

Summary:
Energy of formation from the pure elements: -0.104 eV per atom
Calculated density: 7.74 Mg/m³
Symmetry: C2/m, No. 12
M_tot: 0.00 μB per cell

abc: 6.6351 6.6351 6.6595
angles: 98.72 98.72 134.07
Atoms (fractional coordinates):
1 Li 0.0000 0.0000 0.0000
2 Hf 0.5000 0.5000 0.5000
3 Zn 0.0000 0.5000 0.5000
4 Zn 0.0055 0.7952 0.2846
5 Zn 0.1441 0.4898 0.1481
6 Zn 0.2048 0.9945 0.7154
7 Zn 0.4898 0.1441 0.1481
8 Zn 0.5000 0.0000 0.5000
9 Zn 0.5000 0.5000 0.0000
10 Zn 0.5102 0.8559 0.8519
11 Zn 0.7952 0.0055 0.2846
12 Zn 0.8559 0.5102 0.8519
13 Zn 0.9945 0.2048 0.7154


The following is a DFT calculation (PBE) of an optimized crystal structure of Sm3Ga2SiRu3.

Summary:
E: -58.19 eV/cell
Calculated density: 8.80 Mg/m³
Symmetry: P-62m, No. 189
M_tot: 0.00 μB per cell

abc: 7.4969 7.4969 3.5743
angles: 90.00 90.00 120.00
Atoms (fractional coordinates):
1 Sm 0.0000 0.6144 0.0000
2 Sm 0.3856 0.3856 0.0000
3 Sm 0.6144 0.0000 0.0000
4 Ga 0.3333 0.6667 0.5000
5 Ga 0.6667 0.3333 0.5000
6 Si 0.0000 0.0000 0.0000
7 Ru 0.0000 0.2344 0.5000
8 Ru 0.2344 0.0000 0.5000
9 Ru 0.7656 0.7656 0.5000


The following is a DFT calculation (PBE) of an optimized crystal structure of Cd5Sn3Cl12.

Summary:
E: -209.74 eV/cell
Calculated density: 3.63 Mg/m³
Symmetry: Ia-3d, No. 230
M_tot: 0.00 μB per cell

abc: 14.7259 14.7259 14.7259
angles: 109.47 109.47 109.47
Atoms (fractional coordinates):
1 Cd 0.0000 0.0000 0.0000
2 Cd 0.0000 0.0000 0.5000
3 Cd 0.0000 0.5000 0.0000
4 Cd 0.0000 0.5000 0.5000
5 Cd 0.1250 0.7500 0.8750
6 Cd 0.1250 0.8750 0.2500
7 Cd 0.2500 0.1250 0.8750
8 Cd 0.2500 0.6250 0.3750
9 Cd 0.3750 0.2500 0.6250
10 Cd 0.3750 0.6250 0.7500
11 Cd 0.5000 0.0000 0.0000
12 Cd 0.5000 0.0000 0.5000
13 Cd 0.5000 0.5000 0.0000
14 Cd 0.5000 0.5000 0.5000
15 Cd 0.6250 0.3750 0.2500
16 Cd 0.6250 0.7500 0.3750
17 Cd 0.7500 0.3750 0.6250
18 Cd 0.7500 0.8750 0.1250
19 Cd 0.8750 0.1250 0.7500
20 Cd 0.8750 0.2500 0.1250
21 Sn 0.1250 0.2500 0.3750
22 Sn 0.1250 0.3750 0.7500
23 Sn 0.2500 0.3750 0.1250
24 Sn 0.2500 0.8750 0.6250
25 Sn 0.3750 0.1250 0.2500
26 Sn 0.3750 0.7500 0.1250
27 Sn 0.6250 0.2500 0.8750
28 Sn 0.6250 0.8750 0.7500
29 Sn 0.7500 0.1250 0.3750
30 Sn 0.7500 0.6250 0.8750
31 Sn 0.8750 0.6250 0.2500
32 Sn 0.8750 0.7500 0.6250
33 Cl 0.0446 0.2335 0.1376
34 Cl 0.0446 0.3110 0.9069
35 Cl 0.0931 0.6376 0.4041
36 Cl 0.0931 0.9554 0.6890
37 Cl 0.0959 0.7335 0.6890
38 Cl 0.0959 0.8624 0.4069
39 Cl 0.1376 0.0446 0.2335
40 Cl 0.1376 0.5931 0.9041
41 Cl 0.1890 0.2335 0.5959
42 Cl 0.1890 0.4554 0.5931
43 Cl 0.2335 0.1376 0.0446
44 Cl 0.2335 0.5959 0.1890
45 Cl 0.2665 0.3110 0.9041
46 Cl 0.2665 0.4554 0.3624
47 Cl 0.3110 0.9041 0.2665
48 Cl 0.3110 0.9069 0.0446
49 Cl 0.3624 0.2665 0.4554
50 Cl 0.3624 0.5959 0.9069
51 Cl 0.4041 0.0931 0.6376
52 Cl 0.4041 0.8110 0.7665
53 Cl 0.4069 0.0959 0.8624
54 Cl 0.4069 0.8110 0.5446
55 Cl 0.4554 0.3624 0.2665
56 Cl 0.4554 0.5931 0.1890
57 Cl 0.5446 0.4069 0.8110
58 Cl 0.5446 0.6376 0.7335
59 Cl 0.5931 0.1890 0.4554
60 Cl 0.5931 0.9041 0.1376
61 Cl 0.5959 0.1890 0.2335
62 Cl 0.5959 0.9069 0.3624
63 Cl 0.6376 0.4041 0.0931
64 Cl 0.6376 0.7335 0.5446
65 Cl 0.6890 0.0931 0.9554
66 Cl 0.6890 0.0959 0.7335
67 Cl 0.7335 0.5446 0.6376
68 Cl 0.7335 0.6890 0.0959
69 Cl 0.7665 0.4041 0.8110
70 Cl 0.7665 0.8624 0.9554
71 Cl 0.8110 0.5446 0.4069
72 Cl 0.8110 0.7665 0.4041
73 Cl 0.8624 0.4069 0.0959
74 Cl 0.8624 0.9554 0.7665
75 Cl 0.9041 0.1376 0.5931
76 Cl 0.9041 0.2665 0.3110
77 Cl 0.9069 0.0446 0.3110
78 Cl 0.9069 0.3624 0.5959
79 Cl 0.9554 0.6890 0.0931
80 Cl 0.9554 0.7665 0.8624


The following is a DFT calculation (PBE) of an optimized crystal structure of KAc2F7.

Summary:
E: -61.07 eV/cell
Calculated density: 5.97 Mg/m³
Symmetry: I4/mmm, No. 139
M_tot: 0.10 μB per cell

abc: 9.2312 9.2312 9.2312
angles: 151.91 151.91 40.14
Atoms (fractional coordinates):
1 K 0.0000 0.0000 0.0000
2 Ac 0.3501 0.3501 0.0000
3 Ac 0.6499 0.6499 0.0000
4 F 0.0971 0.5971 0.5000
5 F 0.2500 0.7500 0.5000
6 F 0.4029 0.9029 0.5000
7 F 0.5000 0.5000 0.0000
8 F 0.5971 0.0971 0.5000
9 F 0.7500 0.2500 0.5000
10 F 0.9029 0.4029 0.5000


The following is a DFT calculation (PBE) of an optimized crystal structure of Gd2PaIn.

Summary:
Energy relative to the lowest polymorph listed for this composition: 0 meV per atom
Energy of formation from the pure elements: -0.109 eV per atom
Calculated density: 9.91 Mg/m³
Symmetry: P4/mmm, No. 123
M_tot: 13.58 μB per cell

abc: 3.4445 3.4445 9.3229
angles: 90.00 90.00 90.00
Atoms (fractional coordinates):
1 Gd 0.0000 0.0000 0.2434
2 Gd 0.0000 0.0000 0.7566
3 Pa 0.5000 0.5000 0.5000
4 In 0.5000 0.5000 0.0000


The following is a DFT calculation (PBE) of an optimized crystal structure of BTeN2F.

Summary:
Energy relative to the lowest polymorph listed for this composition: 0 meV per atom
Calculated density: 6.73 Mg/m³
Symmetry: P4/mmm, No. 123
M_tot: 0.00 μB per cell

abc: 3.6786 3.6786 3.3819
angles: 90.00 90.00 90.00
Atoms (fractional coordinates):
1 B 0.0000 0.0000 0.0000
2 Te 0.5000 0.5000 0.5000
3 N 0.0000 0.5000 0.0000
4 N 0.5000 0.0000 0.0000
5 F 0.0000 0.0000 0.5000


The following is a DFT calculation (PBE) of an optimized crystal structure of LaNd6Sc.

Summary:
Energy relative to the lowest polymorph listed for this composition: 328 meV per atom
Energy of formation from the pure elements: 0.364 eV per atom
Calculated density: 5.86 Mg/m³
Symmetry: C2/m, No. 12
M_tot: 0.00 μB per cell

abc: 5.8430 5.8430 9.3267
angles: 102.19 102.19 75.80
Atoms (fractional coordinates):
1 La 0.0000 0.0000 0.0000
2 Nd 0.0432 0.5572 0.2091
3 Nd 0.1337 0.1337 0.4251
4 Nd 0.4428 0.9568 0.7909
5 Nd 0.5572 0.0432 0.2091
6 Nd 0.8663 0.8663 0.5749
7 Nd 0.9568 0.4428 0.7909
8 Sc 0.5000 0.5000 0.5000


The following is a DFT calculation (PBE) of an optimized crystal structure of Na2ZnSn2.

Summary:
Energy of formation from the pure elements: 0.086 eV per atom
Calculated density: 3.97 Mg/m³
Symmetry: P4/mbm, No. 127
M_tot: 0.00 μB per cell

abc: 9.3820 9.3820 3.3143
angles: 90.00 90.00 90.00
Atoms (fractional coordinates):
1 Na 0.1898 0.3102 0.0000
2 Na 0.3102 0.8102 0.0000
3 Na 0.6898 0.1898 0.0000
4 Na 0.8102 0.6898 0.0000
5 Zn 0.0000 0.0000 0.0000
6 Zn 0.5000 0.5000 0.0000
7 Sn 0.1080 0.6080 0.5000
8 Sn 0.3920 0.1080 0.5000
9 Sn 0.6080 0.8920 0.5000
10 Sn 0.8920 0.3920 0.5000


The following is a DFT calculation (PBE) of an optimized crystal structure of La4NdY2.

Summary:
Energy relative to the lowest polymorph listed for this composition: 149 meV per atom
Energy of formation from the pure elements: 0.216 eV per atom
Calculated density: 5.81 Mg/m³
Symmetry: Imma, No. 74
M_tot: 0.00 μB per cell

abc: 9.1590 9.1590 9.1590
angles: 134.90 101.02 95.91
Atoms (fractional coordinates):
1 La 0.1519 0.1499 0.0020
2 La 0.2556 0.2220 0.4664
3 La 0.2556 0.7892 0.0336
4 La 0.3521 0.8501 0.5020
5 La 0.6479 0.1499 0.4980
6 La 0.7444 0.2108 0.9664
7 La 0.7444 0.7780 0.5336
8 La 0.8481 0.8501 0.9980
9 Nd 0.0000 0.0000 0.5000
10 Nd 0.0000 0.5000 0.0000
11 Y 0.0000 0.5000 0.5000
12 Y 0.4657 0.7157 0.7500
13 Y 0.5000 0.5000 0.0000
14 Y 0.5343 0.2843 0.2500